20
Lattice="-6.5314 7.2223 0.9481 -3.3420 -3.7519 5.5580 5.5979 6.5522 7.7890" Properties=species:S:1:pos:R:3 comment="K2AgAuI6 | Alexandria | PBE-GGA | relaxed" formation_energy_uncorrected_ev_per_atom=-0.6539 dft_energy_ry_per_atom=-0.178 pbc="T T T"
Au -0.4668 6.8872 4.3685
Au -1.6710 -1.8760 2.7790
I -2.3137 5.8063 2.7112
I -4.9307 6.6342 9.3347
I -2.6539 9.5433 12.8447
I 2.2010 3.7312 8.7093
I -4.3012 -0.0703 4.6955
I 0.6552 3.3884 4.9603
I -1.9071 2.9704 8.0105
I 0.0256 10.0929 9.5996
I -1.6217 0.4793 1.4504
I -1.9618 4.2162 11.5838
I -2.3685 7.0522 6.2846
I -6.4765 6.2913 5.5857
K -4.7047 8.6091 3.1040
K -0.2307 6.4883 9.1699
K -4.0448 3.5343 5.1251
K 0.4291 1.4134 11.1910
Ag 1.1279 1.4001 6.6735
Ag -3.2657 3.6111 0.4740

8
Lattice="-3.3661 -3.3108 -4.5682 -3.8420 -2.5393 4.6852 -0.3942 7.8391 -0.6739" Properties=species:S:1:pos:R:3 comment="Li2AgAuI4 | Alexandria | PBE-GGA | relaxed" formation_energy_uncorrected_ev_per_atom=-0.6500 dft_energy_ry_per_atom=-0.196 pbc="T T T"
Au -7.6018 1.9884 -0.5568
I -4.5182 -1.8487 -2.4347
I -4.7582 -1.4594 2.2335
I -4.7795 2.1675 -0.4265
I -1.1466 5.1160 -0.4855
Li -3.6833 0.8030 -2.5919
Li -3.9212 1.1887 2.0348
Ag -3.6067 -2.9219 0.0581

5
Lattice="5.1566 0.0000 0.0000 0.0000 5.4550 0.0000 0.0000 0.0000 5.1566" Properties=species:S:1:pos:R:3 comment="AgMoAu2I | Alexandria | PBE-GGA | relaxed" formation_energy_uncorrected_ev_per_atom=1.2664 dft_energy_ry_per_atom=-0.227 pbc="T T T"
Ag 0.0000 0.0000 0.0000
Au 0.0000 0.0000 2.5783
Au 2.5783 0.0000 0.0000
Mo 2.5783 2.7275 2.5783
I 0.0000 2.7275 0.0000

5
Lattice="4.0553 0.0000 0.0000 0.0000 4.0553 0.0000 0.0000 0.0000 8.5398" Properties=species:S:1:pos:R:3 comment="AgAuIN2 | Alexandria | PBE-GGA | relaxed" formation_energy_uncorrected_ev_per_atom=1.4808 dft_energy_ry_per_atom=-0.249 e_above_lowest_polymorph_mev_per_atom=0 pbc="T T T"
Au 0.0000 0.0000 0.0000
I 0.0000 0.0000 4.2699
N 0.0000 2.0277 0.0000
N 2.0277 0.0000 0.0000
Ag 2.0277 2.0277 4.2699

What is the formula in the second record? Li2AgAuI4